Entry 1:
Material: CeInPd
Method: DFT, GGA-PBE
State: relaxed

```
data_CeInPd
_symmetry_space_group_name_H-M 'P 1'
_symmetry_Int_Tables_number 1
_symmetry_space_group_name_Hall 'P 1'
_cell_length_a 3.4573
_cell_length_b 4.8065
_cell_length_c 4.8065
_cell_angle_alpha 120.00
_cell_angle_beta 90.00
_cell_angle_gamma 90.00
loop_
_atom_site_label
_atom_site_fract_x
_atom_site_fract_y
_atom_site_fract_z
_atom_site_occupancy
In1 0.1665 0.0000 0.0000 1
Pd1 0.1669 0.3333 0.6667 1
Ce1 0.6666 0.6667 0.3333 1
```

Results
The formation enthalpy at 0 K is -609 meV per atom. As for the space group: P-6m2. For the total DFT energy (no corrections), the calculation gives -15.69 eV/cell. For the density of states at the Fermi level, the calculation gives 4.85 states/eV per cell.

---

Entry 2:
Material: Pm7Tm3
Method: DFT, GGA-PBE
State: relaxed

```
data_Pm7Tm3
_symmetry_space_group_name_H-M 'P 1'
_symmetry_Int_Tables_number 1
_symmetry_space_group_name_Hall 'P 1'
_cell_length_a 5.7168
_cell_length_b 11.6313
_cell_length_c 11.6313
_cell_angle_alpha 120.00
_cell_angle_beta 90.00
_cell_angle_gamma 90.00
loop_
_atom_site_label
_atom_site_fract_x
_atom_site_fract_y
_atom_site_fract_z
_atom_site_occupancy
Tm1 0.8418 0.2243 0.4485 1
Tm2 0.8418 0.5515 0.7757 1
Tm3 0.8418 0.2243 0.7757 1
Tm4 0.3418 0.4485 0.2243 1
Tm5 0.3418 0.7757 0.5515 1
Tm6 0.3418 0.7757 0.2243 1
Pm1 0.8420 0.2311 0.1156 1
Pm2 0.3420 0.7689 0.8844 1
Pm3 0.8370 0.5247 0.4753 1
Pm4 0.3420 0.1156 0.2311 1
Pm5 0.8370 0.5247 0.0495 1
Pm6 0.8420 0.8844 0.1156 1
Pm7 0.3370 0.0495 0.5247 1
Pm8 0.3457 0.3333 0.6667 1
Pm9 0.3420 0.1156 0.8844 1
Pm10 0.3370 0.4753 0.5247 1
Pm11 0.8420 0.8844 0.7689 1
Pm12 0.8370 0.9505 0.4753 1
Pm13 0.3370 0.4753 0.9505 1
Pm14 0.8457 0.6667 0.3333 1
```

Results
The formation enthalpy at 0 K is 158 meV per atom. As for the space group: P6_3mc. For the total DFT energy (no corrections), the calculation gives -90.18 eV/cell. Its energy above the most stable polymorph in this dataset is 0.141 eV/atom. For the density of states at the Fermi level, the calculation gives 17.73 states/eV per cell.

---

Entry 3:
Material: SiOsW2Se
Method: DFT, GGA-PBE
State: relaxed

```
data_SiOsW2Se
_symmetry_space_group_name_H-M 'P 1'
_symmetry_Int_Tables_number 1
_symmetry_space_group_name_Hall 'P 1'
_cell_length_a 4.8848
_cell_length_b 4.5478
_cell_length_c 4.8848
_cell_angle_alpha 90.00
_cell_angle_beta 90.00
_cell_angle_gamma 90.00
loop_
_atom_site_label
_atom_site_fract_x
_atom_site_fract_y
_atom_site_fract_z
_atom_site_occupancy
W1 0.0000 0.0000 0.5000 1
W2 0.5000 0.0000 0.0000 1
Os1 0.0000 0.0000 0.0000 1
Si1 0.5000 0.5000 0.5000 1
Se1 0.0000 0.5000 0.0000 1
```

Results
The uncorrected formation energy is 1980 meV/atom. As for the space group: P4/mmm. For the total DFT energy (no corrections), the calculation gives -36.14 eV/cell. For the density of states at the Fermi level, the calculation gives 6.15 states/eV per cell.

---

> What is the formula in the third record?

SiOsW2Se

---

What did the first record say?
Material: CeInPd
Method: DFT, GGA-PBE
State: relaxed

```
data_CeInPd
_symmetry_space_group_name_H-M 'P 1'
_symmetry_Int_Tables_number 1
_symmetry_space_group_name_Hall 'P 1'
_cell_length_a 3.4573
_cell_length_b 4.8065
_cell_length_c 4.8065
_cell_angle_alpha 120.00
_cell_angle_beta 90.00
_cell_angle_gamma 90.00
loop_
_atom_site_label
_atom_site_fract_x
_atom_site_fract_y
_atom_site_fract_z
_atom_site_occupancy
In1 0.1665 0.0000 0.0000 1
Pd1 0.1669 0.3333 0.6667 1
Ce1 0.6666 0.6667 0.3333 1
```

Results
The formation enthalpy at 0 K is -609 meV per atom. As for the space group: P-6m2. For the total DFT energy (no corrections), the calculation gives -15.69 eV/cell. For the density of states at the Fermi level, the calculation gives 4.85 states/eV per cell.

---

> Which value of total DFT energy (no corrections) does entry 3 give?

-36.14 eV/cell